# HgSbSe2

HgSbSe2 at its PBEsol-relaxed geometry (meta-GGA SCAN, Alexandria via LeMat-Bulk).

The structure in POSCAR format:
```
HgSbSe2
1.0
-1.891 2.430 5.109
1.891 -2.430 5.109
1.891 2.430 -5.109
Hg Sb Se
1 1 2
Cartesian
0.000 0.000 0.000
0.000 0.000 5.109
1.891 0.000 2.969
0.000 2.430 2.140
```

Properties
formation energy (no corrections): 0.2494 eV per atom
energy relative to the lowest polymorph listed for this composition: 36.7 kJ/mol of atoms
space-group type: Immm

# SiNi2Hg

SiNi2Hg at its PBEsol-relaxed geometry (meta-GGA SCAN, Alexandria via LeMat-Bulk).

The structure in POSCAR format:
```
SiNi2Hg
1.0
2.789 0.000 0.000
0.000 3.334 0.000
0.000 0.000 5.923
Si Ni Hg
1 2 1
Cartesian
0.000 0.000 0.000
0.000 0.000 3.679
1.394 1.667 5.080
1.394 1.667 2.118
```

Properties
formation energy (no corrections): 0.1101 eV per atom
energy relative to the lowest polymorph listed for this composition: 29.7 kJ/mol of atoms
space-group type: Pmm2

# BeHS2N

BeHS2N at its PBEsol-relaxed geometry (meta-GGA SCAN, Alexandria via LeMat-Bulk).

The structure in POSCAR format:
```
BeHS2N
1.0
4.434 0.000 0.000
0.000 4.434 0.000
0.000 0.000 3.042
Be H S N
1 1 2 1
Cartesian
0.000 0.000 0.000
2.217 2.217 1.521
0.000 2.217 0.000
2.217 0.000 0.000
0.000 0.000 1.521
```

Properties
energy relative to the lowest polymorph listed for this composition: 0.0 kJ/mol of atoms
space-group type: P4/mmm

# Zr2TaTe

Zr2TaTe at its PBEsol-relaxed geometry (meta-GGA SCAN, Alexandria via LeMat-Bulk).

The structure in POSCAR format:
```
Zr2TaTe
1.0
0.000 3.422 3.422
3.422 0.000 3.422
3.422 3.422 0.000
Zr Ta Te
2 1 1
Cartesian
0.000 0.000 0.000
1.711 1.711 1.711
5.134 5.134 5.134
3.422 3.422 3.422
```

Properties
formation energy (no corrections): 0.0576 eV per atom
space-group type: F-43m

# K2CaTc

K2CaTc at its PBEsol-relaxed geometry (meta-GGA SCAN, Alexandria via LeMat-Bulk).

The structure in POSCAR format:
```
K2CaTc
1.0
4.653 0.000 0.000
0.000 4.653 0.000
0.000 0.000 6.199
K Ca Tc
2 1 1
Cartesian
0.000 2.327 0.000
2.327 0.000 0.000
0.000 0.000 3.100
2.327 2.327 3.100
```

Properties
energy relative to the lowest polymorph listed for this composition: 0.0 kJ/mol of atoms
space-group type: P4/mmm

# BiH2Pt

BiH2Pt at its PBEsol-relaxed geometry (meta-GGA SCAN, Alexandria via LeMat-Bulk).

The structure in POSCAR format:
```
BiH2Pt
1.0
0.000 2.913 2.913
2.913 0.000 2.913
2.913 2.913 0.000
Bi H Pt
1 2 1
Cartesian
0.000 0.000 0.000
1.456 1.456 1.456
4.369 4.369 4.369
2.913 2.913 2.913
```

Properties
E: -38.085 eV/atom
space-group type: Fm-3m

no.,DOS at the Fermi energy (states/eV/f.u.)
1,2.4
2,2.2
3,3.0
4,2.8
5,3.2
6,1.2